#A
{"formula": "Li4CuPd3", "functional": "PBE", "state": "relaxed", "mass_density_g_cm3": 6.2, "magmom_total_mub_per_atom": 0.0000, "dos_ef_per_ev_cell": 1.510, "space_group": "No. 12", "lattice": [[8.848, -1.499, 0.000], [8.848, 1.499, 0.000], [-0.981, 0.000, 4.175]], "species": ["Li", "Li", "Li", "Li", "Cu", "Pd", "Pd", "Pd"], "frac_coords": [[0.116, 0.116, 0.118], [0.256, 0.256, 0.756], [0.744, 0.744, 0.244], [0.884, 0.884, 0.882], [0.000, 0.000, 0.500], [0.371, 0.371, 0.370], [0.500, 0.500, 0.000], [0.629, 0.629, 0.630]]}

=====

#B
{"formula": "Li4CuPd3", "functional": "PBE", "state": "relaxed", "mass_density_g_cm3": 6.0, "magmom_total_mub_per_atom": 0.0000, "dos_ef_per_ev_cell": 2.496, "space_group": "No. 71", "lattice": [[-1.366, 4.227, 4.882], [1.366, -4.227, 4.882], [1.366, 4.227, -4.882]], "species": ["Li", "Li", "Li", "Li", "Cu", "Pd", "Pd", "Pd"], "frac_coords": [[0.113, 0.871, 0.242], [0.371, 0.129, 0.242], [0.629, 0.871, 0.758], [0.887, 0.129, 0.758], [0.500, 0.000, 0.500], [0.000, 0.500, 0.500], [0.271, 0.271, 0.000], [0.729, 0.729, 0.000]]}

=====

Energies relative to the most stable structure, in meV per atom: #A 0; #B 10.